[1]
Below is crystalline NaZr2Cl at its relaxed geometry, with properties calculated at the GGA-PBE level.

Lattice parameters (Å, degrees): 12.8059 12.8059 12.8059 162.01 162.01 25.55
Closest atoms and distances in Å follow each position.
Sites, in units of the cell vectors:
Na  0.0000  0.0000  0.0000  4 Cl 2.83
Na  0.7500  0.2500  0.5000  4 Cl 2.83
Zr  0.1307  0.6250  0.0057  4 Zr 2.80-2.86
Zr  0.3750  0.3807  0.5057  4 Zr 2.80-2.86
Zr  0.6193  0.1250  0.9943  4 Zr 2.80-2.86
Zr  0.8750  0.8693  0.4943  4 Zr 2.80-2.86
Cl  0.2500  0.7500  0.5000  4 Na 2.83
Cl  0.5000  0.5000  0.0000  4 Na 2.83

calculated total energy = -4.932 eV per atom
uncorrected formation energy = 134 meV per atom
energy above the lowest structure with this stoichiometry = 0.0000 eV per atom

[2]
Below is crystalline NaZr2Cl8 at its relaxed geometry, with properties calculated at the GGA-PBE level.

Lattice parameters (Å, degrees): 7.5441 7.5441 6.8503 96.53 96.53 57.39
Closest atoms and distances in Å follow each position.
Sites, in units of the cell vectors:
Na  0.0000  0.0000  0.0000  2 Cl 2.68
Zr  0.2548  0.2548  0.4992  6 Cl 2.38-2.60
Zr  0.7452  0.7452  0.5008  6 Cl 2.38-2.60
Cl  0.1068  0.6222  0.6858  2 Zr 2.58-2.60
Cl  0.1493  0.1493  0.7703  1 Zr 2.46, 1 Na 2.68
Cl  0.3641  0.3641  0.2485  1 Zr 2.38
Cl  0.3778  0.8932  0.3142  2 Zr 2.58-2.60
Cl  0.6222  0.1068  0.6858  2 Zr 2.58-2.60
Cl  0.6359  0.6359  0.7515  1 Zr 2.38
Cl  0.8507  0.8507  0.2297  1 Zr 2.46, 1 Na 2.68
Cl  0.8932  0.3778  0.3142  2 Zr 2.58-2.60

calculated total energy = -4.736 eV per atom
uncorrected formation energy = -1719 meV per atom
energy above the lowest structure with this stoichiometry = 0.0000 eV per atom

[3]
Below is crystalline NaZr3Cl at its relaxed geometry, with properties calculated at the GGA-PBE level.

Lattice parameters (Å, degrees): 4.9058 4.9058 4.9058 90.00 90.00 90.00
Closest atoms and distances in Å follow each position.
Sites, in units of the cell vectors:
Na  0.0000  0.0000  0.0000  12 Zr 3.47
Zr  0.0000  0.5000  0.5000  2 Cl 2.45
Zr  0.5000  0.0000  0.5000  2 Cl 2.45
Zr  0.5000  0.5000  0.0000  2 Cl 2.45
Cl  0.5000  0.5000  0.5000  6 Zr 2.45

calculated total energy = -5.552 eV per atom
uncorrected formation energy = 210 meV per atom
energy above the lowest structure with this stoichiometry = 0.0000 eV per atom

[4]
Below is crystalline Na2Zr3Cl9 at its relaxed geometry, with properties calculated at the GGA-PBE level.

Lattice parameters (Å, degrees): 9.7274 9.7274 9.7916 101.65 101.65 118.89
Closest atoms and distances in Å follow each position.
Sites, in units of the cell vectors:
Na  0.0400  0.7199  0.6434  4 Cl 2.83-3.11
Na  0.2801  0.9600  0.3566  4 Cl 2.83-3.11
Na  0.7199  0.0400  0.6434  4 Cl 2.83-3.11
Na  0.9600  0.2801  0.3566  4 Cl 2.83-3.11
Zr  0.2595  0.4551  0.8442  5 Cl 2.54-2.66
Zr  0.3472  0.3472  0.1336  5 Cl 2.55-2.61
Zr  0.4551  0.2595  0.8442  5 Cl 2.54-2.66
Zr  0.5449  0.7405  0.1558  5 Cl 2.54-2.66
Zr  0.6528  0.6528  0.8664  5 Cl 2.55-2.61
Zr  0.7405  0.5449  0.1558  5 Cl 2.54-2.66
Cl  0.0178  0.6042  0.3451  1 Zr 2.66, 2 Na 2.83-2.95
Cl  0.0669  0.2819  0.9690  2 Zr 2.56
Cl  0.1798  0.1798  0.6579  2 Zr 2.56
Cl  0.1816  0.1816  0.2852  1 Zr 2.61, 2 Na 2.90
Cl  0.2819  0.0669  0.9690  2 Zr 2.56
Cl  0.2845  0.7155  0.0000  2 Zr 2.55
Cl  0.3878  0.6023  0.3168  2 Zr 2.54-2.55
Cl  0.3958  0.9822  0.6549  1 Zr 2.66, 2 Na 2.83-2.95
Cl  0.3977  0.6122  0.6832  2 Zr 2.54-2.55
Cl  0.6023  0.3878  0.3168  2 Zr 2.54-2.55
Cl  0.6042  0.0178  0.3451  1 Zr 2.66, 2 Na 2.83-2.95
Cl  0.6122  0.3977  0.6832  2 Zr 2.54-2.55
Cl  0.7155  0.2845  0.0000  2 Zr 2.55
Cl  0.7181  0.9331  0.0310  2 Zr 2.56
Cl  0.8184  0.8184  0.7148  1 Zr 2.61, 2 Na 2.90
Cl  0.8202  0.8202  0.3421  2 Zr 2.56
Cl  0.9331  0.7181  0.0310  2 Zr 2.56
Cl  0.9822  0.3958  0.6549  1 Zr 2.66, 2 Na 2.83-2.95

calculated total energy = -4.871 eV per atom
uncorrected formation energy = -1663 meV per atom

[5]
Below is crystalline NbCl6 at its relaxed geometry, with properties calculated at the GGA-PBE level.

Lattice parameters (Å, degrees): 10.5052 11.7043 8.5879 90.00 90.00 90.00
Closest atoms and distances in Å follow each position.
Sites, in units of the cell vectors:
Nb  0.1332  0.2500  0.0503  6 Cl 2.29-2.51
Nb  0.3668  0.7500  0.5503  6 Cl 2.29-2.51
Nb  0.6332  0.2500  0.4497  6 Cl 2.29-2.51
Nb  0.8668  0.7500  0.9497  6 Cl 2.29-2.51
Cl  0.0147  0.1110  0.2047  1 Nb 2.44
Cl  0.0147  0.3890  0.2047  1 Nb 2.44
Cl  0.0170  0.7500  0.1431  1 Nb 2.29
Cl  0.2391  0.6045  0.4575  1 Nb 2.31
Cl  0.2391  0.8955  0.4575  1 Nb 2.31
Cl  0.2413  0.7500  0.7997  1 Nb 2.51
Cl  0.2587  0.2500  0.2997  1 Nb 2.51
Cl  0.2609  0.1045  0.9575  1 Nb 2.31
Cl  0.2609  0.3955  0.9575  1 Nb 2.31
Cl  0.4830  0.2500  0.6431  1 Nb 2.29
Cl  0.4853  0.6110  0.7047  1 Nb 2.44
Cl  0.4853  0.8890  0.7047  1 Nb 2.44
Cl  0.5147  0.1110  0.2953  1 Nb 2.44
Cl  0.5147  0.3890  0.2953  1 Nb 2.44
Cl  0.5170  0.7500  0.3569  1 Nb 2.29
Cl  0.7391  0.6045  0.0425  1 Nb 2.31
Cl  0.7391  0.8955  0.0425  1 Nb 2.31
Cl  0.7413  0.7500  0.7003  1 Nb 2.51
Cl  0.7587  0.2500  0.2003  1 Nb 2.51
Cl  0.7609  0.1045  0.5425  1 Nb 2.31
Cl  0.7609  0.3955  0.5425  1 Nb 2.31
Cl  0.9830  0.2500  0.8569  1 Nb 2.29
Cl  0.9853  0.6110  0.7953  1 Nb 2.44
Cl  0.9853  0.8890  0.7953  1 Nb 2.44

calculated total energy = -3.958 eV per atom
uncorrected formation energy = -937 meV per atom

[6]
Below is crystalline NbCl3 at its relaxed geometry, with properties calculated at the GGA-PBE level.

Lattice parameters (Å, degrees): 10.6611 10.6611 10.6611 17.16 17.16 17.16
Closest atoms and distances in Å follow each position.
Sites, in units of the cell vectors:
Nb  0.0000  0.0000  0.0000  6 Cl 2.54
Cl  0.3892  0.3892  0.3892  3 Nb 2.54
Cl  0.5000  0.5000  0.5000  8 Cl 3.18-3.49
Cl  0.6108  0.6108  0.6108  3 Nb 2.54

calculated total energy = -4.524 eV per atom
uncorrected formation energy = -622 meV per atom

[7]
Below is crystalline Nb3Cl8 at its relaxed geometry, with properties calculated at the GGA-PBE level.

Lattice parameters (Å, degrees): 6.8318 6.8318 13.8522 90.00 90.00 120.00
Closest atoms and distances in Å follow each position.
Sites, in units of the cell vectors:
Nb  0.0568  0.5284  0.2537  6 Cl 2.45-2.67
Nb  0.4716  0.5284  0.2537  6 Cl 2.45-2.67
Nb  0.4716  0.9432  0.2537  6 Cl 2.45-2.67
Nb  0.5284  0.0568  0.7463  6 Cl 2.45-2.67
Nb  0.5284  0.4716  0.7463  6 Cl 2.45-2.67
Nb  0.9432  0.4716  0.7463  6 Cl 2.45-2.67
Cl  0.1659  0.3318  0.6485  2 Nb 2.55
Cl  0.1659  0.8341  0.6485  2 Nb 2.55
Cl  0.1697  0.3395  0.1341  2 Nb 2.45
Cl  0.1697  0.8303  0.1341  2 Nb 2.45
Cl  0.3318  0.1659  0.3515  2 Nb 2.55
Cl  0.3333  0.6667  0.3865  3 Nb 2.46
Cl  0.3333  0.6667  0.8438  3 Nb 2.67
Cl  0.3395  0.1697  0.8659  2 Nb 2.45
Cl  0.6605  0.8303  0.1341  2 Nb 2.45
Cl  0.6667  0.3333  0.1562  3 Nb 2.67
Cl  0.6667  0.3333  0.6135  3 Nb 2.46
Cl  0.6682  0.8341  0.6485  2 Nb 2.55
Cl  0.8303  0.1697  0.8659  2 Nb 2.45
Cl  0.8303  0.6605  0.8659  2 Nb 2.45
Cl  0.8341  0.1659  0.3515  2 Nb 2.55
Cl  0.8341  0.6682  0.3515  2 Nb 2.55

calculated total energy = -5.367 eV per atom
uncorrected formation energy = -1278 meV per atom

[8]
Below is crystalline Nb2Cl3 at its relaxed geometry, with properties calculated at the GGA-PBE level.

Lattice parameters (Å, degrees): 7.4086 7.4086 5.5887 104.68 104.68 114.44
Closest atoms and distances in Å follow each position.
Sites, in units of the cell vectors:
Nb  0.0528  0.9472  0.5000  4 Cl 2.46-2.75, 1 Nb 2.54
Nb  0.0893  0.7928  0.9363  4 Cl 2.49-2.68, 1 Nb 2.54
Nb  0.7928  0.0893  0.4363  4 Cl 2.49-2.68, 1 Nb 2.54
Nb  0.9472  0.0528  0.0000  4 Cl 2.46-2.75, 1 Nb 2.54
Cl  0.1704  0.3202  0.4793  3 Nb 2.49-2.58
Cl  0.3202  0.1704  0.9793  3 Nb 2.49-2.58
Cl  0.3833  0.9114  0.3958  3 Nb 2.56-2.75
Cl  0.5703  0.8434  0.9483  2 Nb 2.46-2.49
Cl  0.8434  0.5703  0.4483  2 Nb 2.46-2.49
Cl  0.9114  0.3833  0.8958  3 Nb 2.56-2.75

calculated total energy = -5.852 eV per atom
uncorrected formation energy = -716 meV per atom

Repeat the sixth record exactly.
Below is crystalline NbCl3 at its relaxed geometry, with properties calculated at the GGA-PBE level.

Lattice parameters (Å, degrees): 10.6611 10.6611 10.6611 17.16 17.16 17.16
Closest atoms and distances in Å follow each position.
Sites, in units of the cell vectors:
Nb  0.0000  0.0000  0.0000  6 Cl 2.54
Cl  0.3892  0.3892  0.3892  3 Nb 2.54
Cl  0.5000  0.5000  0.5000  8 Cl 3.18-3.49
Cl  0.6108  0.6108  0.6108  3 Nb 2.54

calculated total energy = -4.524 eV per atom
uncorrected formation energy = -622 meV per atom

> Among the records above, which one has the highest uncorrected formation energy?

NaZr3Cl

> Among the records above, which one has the lowest uncorrected formation energy?

NaZr2Cl8

What did the sixth record say?
Below is crystalline NbCl3 at its relaxed geometry, with properties calculated at the GGA-PBE level.

Lattice parameters (Å, degrees): 10.6611 10.6611 10.6611 17.16 17.16 17.16
Closest atoms and distances in Å follow each position.
Sites, in units of the cell vectors:
Nb  0.0000  0.0000  0.0000  6 Cl 2.54
Cl  0.3892  0.3892  0.3892  3 Nb 2.54
Cl  0.5000  0.5000  0.5000  8 Cl 3.18-3.49
Cl  0.6108  0.6108  0.6108  3 Nb 2.54

calculated total energy = -4.524 eV per atom
uncorrected formation energy = -622 meV per atom